Compound: La4Pm2DySc
Source: Alexandria
Functional: PBE
Structure: relaxed

Calculated values
**Formation enthalpy at 0 K**: 0.24 eV per formula unit
**Crystal system**: orthorhombic
**Raw total energy**: -4.9886 eV/atom
**Fermi-level density of states**: 11.78 states/eV per cell

```
data_La4Pm2DySc
_chemical_formula_sum 'La4 Pm2 Dy1 Sc1'
_cell_length_a 5.174
_cell_length_b 5.201
_cell_length_c 10.066
_cell_angle_alpha 90.00
_cell_angle_beta 90.00
_cell_angle_gamma 90.00
_space_group_name_H-M_alt 'P m m m'
_space_group_IT_number 47
_space_group_name_Hall '-P 2 2'
loop_
_atom_site_label
_atom_site_type_symbol
_atom_site_fract_x
_atom_site_fract_y
_atom_site_fract_z
La1 La 0.000 0.000 0.245
La2 La 0.500 0.500 0.246
Pm1 Pm 0.000 0.500 0.000
Pm2 Pm 0.500 0.000 0.500
Dy1 Dy 0.000 0.500 0.500
Sc1 Sc 0.500 0.000 0.000
```

---

Compound: Sm15DyTl4
Source: Alexandria
Functional: PBE
Structure: relaxed

Calculated values
**Formation enthalpy at 0 K**: -2.96 eV per formula unit
**Crystal system**: tetragonal
**Raw total energy**: -4.3908 eV/atom
**Fermi-level density of states**: 29.51 states/eV per cell

```
data_Sm15DyTl4
_chemical_formula_sum 'Sm15 Dy1 Tl4'
_cell_length_a 4.939
_cell_length_b 4.939
_cell_length_c 25.223
_cell_angle_alpha 90.00
_cell_angle_beta 90.00
_cell_angle_gamma 90.00
_space_group_name_H-M_alt 'P 4/m m m'
_space_group_IT_number 123
_space_group_name_Hall '-P 4 2'
loop_
_atom_site_label
_atom_site_type_symbol
_atom_site_fract_x
_atom_site_fract_y
_atom_site_fract_z
Sm1 Sm 0.000 0.000 0.000
Sm2 Sm 0.000 0.000 0.204
Sm3 Sm 0.000 0.000 0.402
Sm4 Sm 0.000 0.500 0.104
Sm5 Sm 0.000 0.500 0.303
Sm6 Sm 0.000 0.500 0.500
Dy1 Dy 0.500 0.500 0.000
Tl1 Tl 0.500 0.500 0.206
Tl2 Tl 0.500 0.500 0.402
```